(1)
Material: ScHgRu2
Method: DFT, GGA-PBE
State: optimized geometry

Lattice parameters (Å, degrees): 4.788 4.788 5.114 78.82 78.82 36.63
Element x y z (fractional)
Ru: 0.006 0.006 0.972
Ru: 0.494 0.494 0.528
Hg: 0.250 0.250 0.250
Sc: 0.750 0.750 0.750

Space group: C2/m



(2)
Material: ScHgRu2
Method: DFT, GGA-PBE
State: optimized geometry

Lattice parameters (Å, degrees): 4.599 4.599 4.599 60.00 60.00 60.00
Last column: magnetic moment on the atom in μB.
Element x y z (fractional)
Sc: 0.750 0.750 0.750  -0.06
Ru: 0.250 0.250 0.250  0.83
Ru: 0.000 0.000 0.000  1.17
Hg: 0.500 0.500 0.500  -0.01

Space group: F-43m



(3)
Material: Sc2HgRu
Method: DFT, GGA-PBE
State: optimized geometry

Lattice parameters (Å, degrees): 4.340 4.340 9.498 76.79 76.79 90.00
Element x y z (fractional)
Hg: 0.750 0.250 0.500
Hg: 0.000 0.000 0.000
Sc: 0.148 0.625 0.250
Sc: 0.375 0.398 0.750
Sc: 0.875 0.852 0.750
Sc: 0.602 0.125 0.250
Ru: 0.500 0.500 0.000
Ru: 0.250 0.750 0.500

Space group: I-42d



(4)
Material: ScHgRu2
Method: DFT, GGA-PBE
State: optimized geometry

Lattice parameters (Å, degrees): 5.042 5.042 5.042 133.17 133.17 68.38
Element x y z (fractional)
Sc: 0.500 0.500 0.000
Ru: 0.250 0.750 0.500
Ru: 0.000 0.000 0.000
Hg: 0.750 0.250 0.500

Space group: I-4m2



(5)
Material: Sc2HgRu
Method: DFT, GGA-PBE
State: optimized geometry

Lattice parameters (Å, degrees): 9.889 9.889 9.889 19.02 19.02 19.02
Element x y z (fractional)
Hg: 0.000 0.000 0.000
Sc: 0.897 0.897 0.897
Sc: 0.103 0.103 0.103
Ru: 0.500 0.500 0.500

Space group: R-3m



(6)
Material: ScHgRu4
Method: DFT, GGA-PBE
State: optimized geometry

Lattice parameters (Å, degrees): 5.202 5.202 5.202 60.00 60.00 60.00
Last column: magnetic moment on the atom in μB.
Element x y z (fractional)
Ru: 0.375 0.375 0.375  0.33
Ru: 0.375 0.876 0.375  0.33
Ru: 0.876 0.375 0.375  0.33
Ru: 0.375 0.375 0.876  0.33
Sc: 0.750 0.750 0.750  -0.05
Hg: 0.000 0.000 0.000  -0.01

Space group: F-43m



(7)
Material: Sc8HgRu2
Method: DFT, GGA-PBE
State: optimized geometry

Lattice parameters (Å, degrees): 4.883 6.484 8.385 112.74 106.92 90.01
Element x y z (fractional)
Sc: 0.303 0.350 0.242
Sc: 0.137 0.546 0.909
Sc: 0.927 0.437 0.491
Sc: 0.523 0.712 0.682
Sc: 0.636 0.270 0.909
Sc: 0.345 0.855 0.327
Sc: 0.970 0.017 0.576
Sc: 0.750 0.939 0.136
Ru: 0.807 0.620 0.250
Ru: 0.466 0.280 0.569
Hg: 0.136 0.973 0.909

Space group: Imm2



(8)
Material: Sc2HgRu
Method: DFT, GGA-PBE
State: optimized geometry

Lattice parameters (Å, degrees): 9.515 9.515 9.515 19.43 19.43 19.43
Last column: magnetic moment on the atom in μB.
Element x y z (fractional)
Sc: 0.246 0.246 0.246  0.38
Sc: 0.014 0.014 0.014  0.04
Ru: 0.747 0.747 0.747  0.30
Hg: 0.493 0.493 0.493  0.00

Space group: R3m



(9)
Material: ScHgRu2
Method: DFT, GGA-PBE
State: optimized geometry

Lattice parameters (Å, degrees): 3.286 3.285 6.281 90.00 90.00 90.00
Element x y z (fractional)
Sc: 0.500 0.500 0.250
Ru: 0.000 0.000 0.014
Ru: 0.000 0.000 0.486
Hg: 0.500 0.500 0.750

Space group: P4/mmm



(10)
Material: Sc2HgRu
Method: DFT, GGA-PBE
State: optimized geometry

Lattice parameters (Å, degrees): 5.763 5.763 5.763 146.07 132.49 59.66
Element x y z (fractional)
Sc: 0.032 0.032 0.000
Sc: 0.748 0.248 0.500
Ru: 0.242 0.742 0.500
Hg: 0.478 0.478 0.000

Space group: Imm2



(11)
Material: ScHgRu2
Method: DFT, GGA-PBE
State: optimized geometry

Lattice parameters (Å, degrees): 2.895 2.895 8.949 90.00 90.00 114.03
Element x y z (fractional)
Hg: 0.500 0.500 0.750
Sc: 0.500 0.500 0.250
Ru: 0.000 0.000 0.484
Ru: 0.000 0.000 0.016

Space group: Cmmm



(12)
Material: Sc4HgRu
Method: DFT, GGA-PBE
State: optimized geometry

Lattice parameters (Å, degrees): 4.684 4.719 7.879 72.46 72.71 60.24
Element x y z (fractional)
Ru: 0.000 0.000 0.000
Hg: 0.500 0.500 0.500
Sc: 0.883 0.887 0.348
Sc: 0.117 0.113 0.652
Sc: 0.633 0.635 0.099
Sc: 0.367 0.365 0.901

Space group: C2/m
Offset from the most stable computed form in kcal/mol of atoms: 3.74



Calculated formation energy from the elements in order - 9.30 12.90 24.83 3.80 -7.87 11.13 -34.14 3.58 8.35 -28.78 20.25 -21.17 kJ/mol of atoms
Calculated total DFT energy (no corrections) in order - -6.200 -6.163 -5.303 -6.257 -5.642 -7.174 -6.672 -5.523 -6.210 -5.858 -6.086 -6.037 eV/atom
Calculated M_tot in order - 0.000 0.488 0.000 0.000 0.000 0.212 0.000 0.258 0.002 0.000 0.000 0.000 μB/atom